## A
The following is a DFT calculation (PBEsol) of a relaxed structure of CoHg2Ir.

abc: 2.863 2.863 7.975
angles: 90.00 90.00 90.00
Last column: magnetic moment on the atom in μB.
Atoms (fractional coordinates):
Hg 0.000 0.000 0.960  -0.02
Hg 0.500 0.500 0.278  -0.01
Co 0.500 0.500 0.723  1.51
Ir 0.000 0.000 0.540  0.49

- crystal system = tetragonal
- space-group type = No. 99

---

## B
The following is a DFT calculation (PBEsol) of a relaxed structure of CoHg2Ir.

abc: 4.505 4.505 4.505
angles: 60.00 60.00 60.00
Last column: magnetic moment on the atom in μB.
Atoms (fractional coordinates):
Hg 0.750 0.750 0.750  -0.02
Hg 0.000 0.000 0.000  0.00
Ir 0.250 0.250 0.250  0.41
Co 0.500 0.500 0.500  1.68

- crystal system = cubic
- space-group type = No. 216

---

Least stable: B

---

## A
The following is a DFT calculation (PBEsol) of a relaxed structure of KCoHg2.

abc: 3.296 3.296 7.946
angles: 90.00 90.00 90.00
Last column: magnetic moment on the atom in μB.
Atoms (fractional coordinates):
Hg 0.000 0.000 0.682  0.00
Hg 0.000 0.000 0.318  0.00
K 0.500 0.500 0.000  0.01
Co 0.500 0.500 0.500  1.52

- crystal system = tetragonal
- space-group type = No. 123

---

## B
The following is a DFT calculation (PBEsol) of a relaxed structure of KCoHg2.

abc: 4.984 4.995 4.984
angles: 119.93 90.00 119.93
Last column: magnetic moment on the atom in μB.
Atoms (fractional coordinates):
Hg 0.750 0.500 0.250  -0.01
Hg 0.250 0.500 0.750  -0.01
Co 0.000 0.000 0.000  1.74
K 0.500 0.000 0.500  -0.01

- crystal system = tetragonal
- space-group type = No. 139

---

Least stable: B

---

## A
The following is a DFT calculation (PBEsol) of a relaxed structure of CoReHg2.

abc: 4.019 4.019 4.911
angles: 114.15 114.15 90.00
Last column: magnetic moment on the atom in μB.
Atoms (fractional coordinates):
Hg 0.250 0.750 0.500  0.02
Hg 0.750 0.250 0.500  0.02
Re 0.500 0.500 0.000  1.34
Co 0.000 0.000 0.000  1.49

- crystal system = tetragonal
- space-group type = No. 139

---

## B
The following is a DFT calculation (PBEsol) of a relaxed structure of CoReHg2.

abc: 2.737 4.730 5.810
angles: 114.02 103.62 90.00
Last column: magnetic moment on the atom in μB.
Atoms (fractional coordinates):
Co 0.774 0.274 0.547  0.27
Hg 0.236 0.736 0.472  0.00
Hg 0.028 0.028 0.056  0.00
Re 0.463 0.463 0.925  0.03

- crystal system = orthorhombic
- space-group type = No. 44

---

Least stable: A

---

## A
The following is a DFT calculation (PBEsol) of a relaxed structure of CoHg2Rh.

abc: 2.891 4.685 5.210
angles: 108.42 106.11 90.00
Last column: magnetic moment on the atom in μB.
Atoms (fractional coordinates):
Rh 0.475 0.524 0.950  0.34
Co 0.771 0.220 0.541  1.61
Hg 0.019 0.056 0.038  -0.01
Hg 0.236 0.700 0.471  -0.02

- crystal system = monoclinic
- space-group type = No. 8

---

## B
The following is a DFT calculation (PBEsol) of a relaxed structure of CoHg2Rh.

abc: 2.891 2.891 7.779
angles: 90.00 90.00 90.00
Last column: magnetic moment on the atom in μB.
Atoms (fractional coordinates):
Rh 0.000 0.000 0.538  0.63
Hg 0.500 0.500 0.281  -0.01
Hg 0.000 0.000 0.959  -0.02
Co 0.500 0.500 0.722  1.70

- crystal system = tetragonal
- space-group type = No. 99

---

Least stable: A

---

## A
The following is a DFT calculation (PBEsol) of a relaxed structure of TaCoHg.

abc: 2.789 4.392 4.392
angles: 120.00 90.00 90.00
Last column: magnetic moment on the atom in μB.
Atoms (fractional coordinates):
Co 0.933 0.000 0.000  0.31
Hg 0.780 0.333 0.667  0.00
Ta 0.288 0.667 0.333  -0.02

- crystal system = trigonal
- space-group type = No. 156

---

## B
The following is a DFT calculation (PBEsol) of a relaxed structure of TaCoHg.

abc: 4.303 4.303 4.303
angles: 60.00 60.00 60.00
Last column: magnetic moment on the atom in μB.
Atoms (fractional coordinates):
Ta 0.250 0.250 0.250  -0.01
Hg 0.500 0.500 0.500  0.00
Co 0.000 0.000 0.000  0.06

- crystal system = cubic
- space-group type = No. 216

---

Least stable: B

---

## A
The following is a DFT calculation (PBEsol) of a relaxed structure of TlCoHg2.

abc: 3.646 4.380 5.349
angles: 90.00 105.16 90.00
Last column: magnetic moment on the atom in μB.
Atoms (fractional coordinates):
Hg 0.145 0.000 0.281  -0.01
Hg 0.855 0.000 0.719  -0.01
Co 0.500 0.500 0.500  1.28
Tl 0.500 0.500 0.000  -0.02

- crystal system = monoclinic
- space-group type = No. 10

---

## B
The following is a DFT calculation (PBEsol) of a relaxed structure of TlCoHg2.

abc: 2.933 4.413 6.885
angles: 108.79 102.30 90.00
Last column: magnetic moment on the atom in μB.
Atoms (fractional coordinates):
Co 0.751 0.251 0.501  0.81
Tl 0.430 0.429 0.859  0.01
Hg 0.074 0.074 0.148  0.00
Hg 0.246 0.746 0.491  -0.02

- crystal system = monoclinic
- space-group type = No. 8

---

Least stable: A

---

## A
The following is a DFT calculation (PBEsol) of a relaxed structure of CoHg2W.

abc: 4.088 4.088 4.830
angles: 115.04 115.04 90.00
Last column: magnetic moment on the atom in μB.
Atoms (fractional coordinates):
Co 0.250 0.750 0.500  0.63
Hg 0.750 0.250 0.500  0.00
Hg 0.000 0.000 0.000  0.01
W 0.500 0.500 0.000  0.12

- crystal system = tetragonal
- space-group type = No. 119

---

## B
The following is a DFT calculation (PBEsol) of a relaxed structure of CoHg2W.

abc: 2.898 2.898 9.209
angles: 80.95 80.95 60.00
Last column: magnetic moment on the atom in μB.
Atoms (fractional coordinates):
Co 0.000 0.000 0.000  1.57
Hg 0.255 0.255 0.234  -0.01
Hg 0.745 0.745 0.766  -0.01
W 0.500 0.500 0.500  0.05

- crystal system = trigonal
- space-group type = No. 166

---

Least stable: A

---

## A
The following is a DFT calculation (PBEsol) of a relaxed structure of LiCoI2.

abc: 6.135 6.135 7.339
angles: 114.70 114.70 90.00
Last column: magnetic moment on the atom in μB.
Atoms (fractional coordinates):
Co 0.250 0.750 0.500  1.75
Co 0.000 0.000 0.000  1.75
I 0.625 0.652 0.750  0.06
I 0.125 0.098 0.750  0.06
I 0.348 0.875 0.250  0.06
I 0.902 0.375 0.250  0.06
Li 0.750 0.250 0.500  0.00
Li 0.500 0.500 0.000  0.00

- crystal system = tetragonal
- space-group type = No. 122

---

## B
The following is a DFT calculation (PBEsol) of a relaxed structure of LiCoI2.

abc: 5.036 5.036 5.036
angles: 60.00 60.00 60.00
Last column: magnetic moment on the atom in μB.
Atoms (fractional coordinates):
I 0.750 0.750 0.750  0.10
I 0.250 0.250 0.250  0.10
Li 0.000 0.000 0.000  0.00
Co 0.500 0.500 0.500  1.83

- crystal system = cubic
- space-group type = No. 225

---

Least stable: B

---

## A
The following is a DFT calculation (PBEsol) of a relaxed structure of CoRuI2N.

abc: 3.342 5.124 5.124
angles: 90.00 90.00 90.00
Atoms (fractional coordinates):
I 0.000 0.500 0.000
I 0.000 0.000 0.500
Ru 0.500 0.500 0.500
N 0.500 0.000 0.000
Co 0.000 0.000 0.000

- crystal system = tetragonal
- space-group type = No. 123

---

## B
The following is a DFT calculation (PBEsol) of a relaxed structure of CoRuI2N.

abc: 3.633 5.396 5.396
angles: 90.00 90.00 90.00
Last column: magnetic moment on the atom in μB.
Atoms (fractional coordinates):
Co 0.500 0.500 0.500  2.09
I 0.000 0.000 0.500  0.08
I 0.000 0.500 0.000  0.08
N 0.500 0.000 0.000  0.00
Ru 0.000 0.000 0.000  0.05

- crystal system = tetragonal
- space-group type = No. 123

---

Least stable: A

---

## A
The following is a DFT calculation (PBEsol) of a relaxed structure of CoI2O6.

abc: 4.871 10.821 10.821
angles: 120.00 90.00 90.00
Last column: magnetic moment on the atom in μB.
Atoms (fractional coordinates):
O 0.171 0.348 0.372  0.07
O 0.717 0.991 0.798  0.05
O 0.171 0.628 0.976  0.07
O 0.705 0.322 0.510  0.04
O 0.705 0.188 0.678  0.04
O 0.218 0.644 0.483  0.05
O 0.657 0.491 0.288  0.06
O 0.178 0.834 0.884  0.06
O 0.704 0.701 0.702  0.04
O 0.218 0.838 0.356  0.05
O 0.704 0.298 0.000  0.04
O 0.705 0.490 0.812  0.04
O 0.149 0.336 0.871  0.07
O 0.704 0.000 0.299  0.04
O 0.178 0.050 0.166  0.06
O 0.178 0.116 0.950  0.06
O 0.717 0.202 0.193  0.05
O 0.657 0.797 0.509  0.06
O 0.171 0.024 0.652  0.07
O 0.149 0.129 0.465  0.07
O 0.657 0.712 0.203  0.06
O 0.717 0.807 0.009  0.05
O 0.218 0.517 0.162  0.05
O 0.149 0.535 0.664  0.07
I 0.498 0.846 0.166  0.04
I 0.982 0.000 0.000  0.01
I 0.498 0.320 0.154  0.04
I 0.989 0.501 0.016  0.02
I 0.498 0.834 0.680  0.04
I 0.989 0.984 0.485  0.02
I 0.989 0.515 0.499  0.02
I 0.523 0.333 0.667  0.04
Co 0.934 0.160 0.823  2.49
Co 0.934 0.177 0.337  2.49
Co 0.934 0.663 0.840  2.49
Co 0.431 0.667 0.333  2.50

- crystal system = trigonal
- space-group type = No. 143

---

## B
The following is a DFT calculation (PBEsol) of a relaxed structure of CoI2O6.

abc: 4.965 5.404 9.280
angles: 90.15 90.00 90.00
Last column: magnetic moment on the atom in μB.
Atoms (fractional coordinates):
O 0.150 0.640 0.571  0.07
O 0.216 0.150 0.083  0.05
O 0.650 0.360 0.429  0.07
O 0.655 0.966 0.202  0.07
O 0.155 0.034 0.798  0.07
O 0.219 0.587 0.271  0.05
O 0.671 0.476 0.121  0.06
O 0.171 0.524 0.879  0.06
O 0.210 0.060 0.398  0.04
O 0.710 0.940 0.602  0.04
O 0.719 0.413 0.729  0.05
O 0.716 0.850 0.917  0.05
I 0.989 0.238 0.932  0.02
I 0.510 0.232 0.598  0.03
I 0.010 0.768 0.402  0.03
I 0.489 0.762 0.068  0.02
Co 0.433 0.267 0.254  2.49
Co 0.933 0.733 0.746  2.49

- crystal system = monoclinic
- space-group type = No. 4

---

Least stable: A

---

## A
The following is a DFT calculation (PBEsol) of a relaxed structure of InCoIr.

abc: 4.107 4.107 4.107
angles: 60.00 60.00 60.00
Last column: magnetic moment on the atom in μB.
Atoms (fractional coordinates):
In 0.000 0.000 0.000  -0.06
Co 0.750 0.750 0.750  1.35
Ir 0.500 0.500 0.500  0.62

- crystal system = cubic
- space-group type = No. 216

---

## B
The following is a DFT calculation (PBEsol) of a relaxed structure of InCoIr.

abc: 4.224 4.224 4.224
angles: 60.00 60.00 60.00
Last column: magnetic moment on the atom in μB.
Atoms (fractional coordinates):
Co 0.000 0.000 0.000  1.88
In 0.500 0.500 0.500  -0.02
Ir 0.750 0.750 0.750  0.41

- crystal system = cubic
- space-group type = No. 216

---

Least stable: B

---

## A
The following is a DFT calculation (PBEsol) of a relaxed structure of InCoNi.

abc: 2.769 4.104 4.104
angles: 120.00 90.00 90.00
Last column: magnetic moment on the atom in μB.
Atoms (fractional coordinates):
Co 0.500 0.000 0.000  1.04
Ni 0.500 0.667 0.333  0.40
In 0.000 0.333 0.667  -0.04

- crystal system = hexagonal
- space-group type = No. 187

---

## B
The following is a DFT calculation (PBEsol) of a relaxed structure of InCoNi.

abc: 4.083 4.083 4.083
angles: 60.00 60.00 60.00
Last column: magnetic moment on the atom in μB.
Atoms (fractional coordinates):
Ni 0.000 0.000 0.000  0.06
In 0.250 0.250 0.250  -0.06
Co 0.500 0.500 0.500  1.02

- crystal system = cubic
- space-group type = No. 216

---

Least stable: B